First-principles (PBE-GGA) data for a relaxed structure of Tl2InRu, as listed in Alexandria via LeMat-Bulk. Values from VASP.

```
&SYSTEM
  ibrav = 0, nat = 16, ntyp = 3
/
ATOMIC_SPECIES
Tl 204.38 Tl.upf
In 114.82 In.upf
Ru 101.07 Ru.upf
CELL_PARAMETERS angstrom
4.2261 0.0000 0.0000
0.0000 4.2261 0.0000
0.0000 0.0000 21.1402
ATOMIC_POSITIONS crystal
Tl 0.2364 0.2500 0.1250
Tl 0.2500 0.7364 0.3750
Tl 0.2500 0.7636 0.8750
Tl 0.2636 0.2500 0.6250
Tl 0.7364 0.7500 0.6250
Tl 0.7500 0.2364 0.8750
Tl 0.7500 0.2636 0.3750
Tl 0.7636 0.7500 0.1250
In 0.0000 0.0000 0.5000
In 0.0000 0.5000 0.7500
In 0.5000 0.0000 0.2500
In 0.5000 0.5000 0.0000
Ru 0.0000 0.0000 0.0000
Ru 0.0000 0.5000 0.2500
Ru 0.5000 0.0000 0.7500
Ru 0.5000 0.5000 0.5000
```

Properties
Formation enthalpy at 0 K: 0.614 eV/atom
Energy relative to the lowest polymorph listed for this composition: 424 meV per atom
Crystal system: tetragonal
V: 377.56 Å³/cell

First-principles (PBE-GGA) data for a relaxed structure of LaTb2Co6, as listed in Alexandria via LeMat-Bulk. Values from VASP.

```
&SYSTEM
  ibrav = 0, nat = 9, ntyp = 3
/
ATOMIC_SPECIES
La 138.91 La.upf
Tb 158.93 Tb.upf
Co 58.93 Co.upf
CELL_PARAMETERS angstrom
6.7266 0.0000 0.0000
-3.3633 5.8254 0.0000
0.0000 0.0000 4.1309
ATOMIC_POSITIONS crystal
La 0.0000 0.0000 0.0000
Tb 0.3333 0.6667 0.0000
Tb 0.6667 0.3333 0.0000
Co 0.0000 0.3357 0.5000
Co 0.0000 0.6643 0.5000
Co 0.3357 0.0000 0.5000
Co 0.3357 0.3357 0.5000
Co 0.6643 0.0000 0.5000
Co 0.6643 0.6643 0.5000
```

Properties
Formation enthalpy at 0 K: -0.128 eV/atom
Crystal system: hexagonal
V: 161.87 Å³/cell

First-principles (PBE-GGA) data for a relaxed structure of ZnCoAu4, as listed in Alexandria via LeMat-Bulk. Values from VASP.

```
&SYSTEM
  ibrav = 0, nat = 6, ntyp = 3
/
ATOMIC_SPECIES
Zn 65.41 Zn.upf
Co 58.93 Co.upf
Au 196.97 Au.upf
CELL_PARAMETERS angstrom
0.0000 3.8430 3.8430
3.8430 0.0000 3.8430
3.8430 3.8430 0.0000
ATOMIC_POSITIONS crystal
Zn 0.0000 0.0000 0.0000
Co 0.7500 0.7500 0.7500
Au 0.3751 0.3751 0.3751
Au 0.3751 0.3751 0.8747
Au 0.3751 0.8747 0.3751
Au 0.8747 0.3751 0.3751
```

Properties
Formation enthalpy at 0 K: 0.403 eV/atom
Crystal system: cubic
V: 113.51 Å³/cell

The highest V belongs to which entry?
Tl2InRu

Which of these has the highest V?
Tl2InRu

Among the records above, which one has the lowest formation enthalpy at 0 K?
LaTb2Co6

Among the records above, which one has the lowest formation enthalpy at 0 K?
LaTb2Co6